# 1
Entry from Alexandria: VReO2F after structural relaxation (PBE with a Hubbard U).

* total energy: -7.087 eV/atom
* size of the total moment: 0.659 μB/atom
* SG: No. 123
* calculated volume: 14.2 Å³ per atom
* density of states at the Fermi level: 3.31 states/eV/cell

Unit cell a=3.811 b=3.811 c=4.889 alpha=90.00 beta=90.00 gamma=90.00
Positions (direct):
V1 0.000 0.000 0.000
Re1 0.500 0.500 0.500
O1 0.000 0.500 0.500
O2 0.500 0.000 0.500
F1 0.500 0.500 0.000

# 2
Entry from Alexandria: VReO2F after structural relaxation (PBE with a Hubbard U).

* total energy: -6.841 eV/atom
* size of the total moment: 1.398 μB/atom
* SG: No. 123
* calculated volume: 12.6 Å³ per atom
* density of states at the Fermi level: 1.23 states/eV/cell

Unit cell a=3.982 b=3.982 c=3.977 alpha=90.00 beta=90.00 gamma=90.00
Positions (direct):
V1 0.000 0.000 0.000
Re1 0.500 0.500 0.500
O1 0.000 0.500 0.000
O2 0.500 0.000 0.000
F1 0.000 0.000 0.500

What did the second record say?
Entry from Alexandria: VReO2F after structural relaxation (PBE with a Hubbard U).

* total energy: -6.841 eV/atom
* size of the total moment: 1.398 μB/atom
* SG: No. 123
* calculated volume: 12.6 Å³ per atom
* density of states at the Fermi level: 1.23 states/eV/cell

Unit cell a=3.982 b=3.982 c=3.977 alpha=90.00 beta=90.00 gamma=90.00
Positions (direct):
V1 0.000 0.000 0.000
Re1 0.500 0.500 0.500
O1 0.000 0.500 0.000
O2 0.500 0.000 0.000
F1 0.000 0.000 0.500